A relaxed structure of Tb2ThF, computed with GGA-PBE.

POSCAR file:
```
Tb2ThF
1.0
1.814 1.047 8.658
-1.814 1.047 8.658
0.000 -2.095 8.658
Tb Th F
2 1 1
Direct
0.228 0.228 0.228
0.772 0.772 0.772
0.000 0.000 0.000
0.500 0.500 0.500
```

* V: 24.67 A^3/atom
* calculated density: 9572 kg/m³
* uncorrected energy: -23.2 eV per cell